1.
Here is a geometry-optimized Ir3RuPt structure from Alexandria. Energies are from PBE-GGA.

Cell: 8.108 5.418 7.491 Å, 89.61 90.00 90.00°
Element x y z (fractional)
1 Ir 0.085 0.900 0.379
2 Ir 0.082 0.872 0.870
3 Pt 0.247 0.612 0.625
4 Ir 0.915 0.100 0.621
5 Ru 0.249 0.127 0.125
6 Ir 0.083 0.376 0.867
7 Ir 0.582 0.128 0.630
8 Ir 0.585 0.100 0.121
9 Ir 0.583 0.624 0.633
10 Ru 0.251 0.127 0.625
11 Ir 0.918 0.128 0.130
12 Ru 0.749 0.873 0.375
13 Ru 0.751 0.873 0.875
14 Ir 0.917 0.624 0.133
15 Pt 0.753 0.388 0.375
16 Ir 0.418 0.872 0.370
17 Ir 0.417 0.376 0.367
18 Pt 0.747 0.388 0.875
19 Ir 0.415 0.900 0.879
20 Pt 0.253 0.612 0.125

Results
excess energy over the best structure of this formula in the dataset	0.0000	eV/atom
energy relative to the elements	297	meV per atom

2.
Here is a geometry-optimized Rb5Ca3I12 structure from Alexandria. Energies are from PBE-GGA.

Cell: 18.301 18.301 18.301 Å, 109.47 109.47 109.47°
Element x y z (fractional)
1 I 0.110 0.474 0.687
2 I 0.974 0.287 0.864
3 Rb 0.125 0.375 0.250
4 I 0.577 0.187 0.713
5 Ca 0.625 0.375 0.750
6 I 0.026 0.313 0.390
7 Ca 0.750 0.875 0.625
8 Rb 0.375 0.250 0.125
9 I 0.610 0.187 0.974
10 Ca 0.750 0.375 0.125
11 Ca 0.250 0.625 0.875
12 I 0.136 0.213 0.026
13 I 0.364 0.474 0.287
14 I 0.636 0.110 0.423
15 Ca 0.250 0.125 0.375
16 I 0.077 0.864 0.890
17 I 0.974 0.687 0.610
18 Ca 0.625 0.250 0.375
19 Rb 0.500 0.500 0.000
20 I 0.213 0.077 0.187
21 I 0.526 0.890 0.813
22 I 0.890 0.526 0.313
23 I 0.026 0.713 0.136
24 I 0.687 0.713 0.077
25 Rb 0.250 0.375 0.625
26 Rb 0.875 0.625 0.750
27 I 0.526 0.636 0.213
28 Ca 0.125 0.875 0.750
29 Rb 0.625 0.875 0.250
30 I 0.077 0.213 0.687
31 I 0.636 0.526 0.713
32 I 0.390 0.577 0.864
33 I 0.187 0.610 0.474
34 Rb 0.875 0.250 0.625
35 I 0.813 0.423 0.787
36 I 0.313 0.026 0.890
37 I 0.813 0.390 0.526
38 I 0.713 0.026 0.636
39 I 0.610 0.423 0.136
40 I 0.864 0.077 0.390
41 Rb 0.125 0.750 0.375
42 Ca 0.375 0.625 0.250
43 I 0.577 0.390 0.364
44 Rb 0.500 0.000 0.000
45 Rb 0.000 0.500 0.500
46 Ca 0.875 0.750 0.125
47 I 0.423 0.610 0.636
48 I 0.474 0.364 0.787
49 Ca 0.125 0.250 0.875
50 I 0.890 0.364 0.077
51 I 0.923 0.136 0.110
52 I 0.787 0.864 0.474
53 Rb 0.000 0.500 0.000
54 I 0.390 0.813 0.026
55 I 0.110 0.636 0.923
56 I 0.787 0.923 0.813
57 I 0.713 0.687 0.577
58 Rb 0.750 0.125 0.875
59 I 0.864 0.787 0.974
60 Ca 0.875 0.125 0.250
61 I 0.364 0.890 0.577
62 I 0.687 0.974 0.110
63 I 0.313 0.287 0.923
64 Rb 0.500 0.000 0.500
65 I 0.474 0.110 0.187
66 I 0.287 0.974 0.364
67 I 0.287 0.313 0.423
68 I 0.923 0.787 0.313
69 Rb 0.625 0.750 0.875
70 I 0.136 0.923 0.610
71 I 0.213 0.136 0.526
72 Rb 0.000 0.000 0.500
73 Rb 0.375 0.125 0.750
74 I 0.187 0.577 0.213
75 I 0.423 0.813 0.287
76 Rb 0.750 0.625 0.375
77 Rb 0.500 0.500 0.500
78 Rb 0.000 0.000 0.000
79 Rb 0.250 0.875 0.125
80 Ca 0.375 0.750 0.625

Results
uncorrected formation energy	-1.326	eV/atom

3.
Here is a geometry-optimized CaLaNb2 structure from Alexandria. Energies are from PBE-GGA.

Cell: 8.223 8.223 6.548 Å, 51.10 51.10 90.00°
Element x y z (fractional)
1 Nb 0.627 0.125 0.250
2 La 0.750 0.250 0.500
3 Nb 0.375 0.373 0.750
4 La 0.000 0.000 0.000
5 Nb 0.875 0.877 0.750
6 Ca 0.500 0.500 0.000
7 Ca 0.250 0.750 0.500
8 Nb 0.123 0.625 0.250

Results
energy relative to the elements	1100	meV per atom

4.
Here is a geometry-optimized KZnNi2 structure from Alexandria. Energies are from PBE-GGA.

Cell: 3.071 3.071 7.680 Å, 90.00 90.00 90.00°
Element x y z (fractional)
1 Ni 0.500 0.500 0.233
2 Zn 0.000 0.000 0.408
3 K 0.500 0.500 0.770
4 Ni 0.000 0.000 0.090

Results
excess energy over the best structure of this formula in the dataset	0.0384	eV/atom
energy relative to the elements	346	meV per atom

5.
Here is a geometry-optimized U4Rh12Au structure from Alexandria. Energies are from PBE-GGA.

Cell: 7.219 7.219 7.219 Å, 109.47 109.47 109.47°
Element x y z (fractional)
1 Rh 0.250 0.500 0.750
2 Rh 0.303 0.000 0.303
3 U 0.500 0.000 0.000
4 Rh 0.303 0.303 0.000
5 U 0.500 0.500 0.500
6 Rh 0.697 0.000 0.697
7 Au 0.000 0.000 0.000
8 Rh 0.000 0.697 0.697
9 Rh 0.750 0.500 0.250
10 U 0.000 0.000 0.500
11 Rh 0.750 0.250 0.500
12 Rh 0.500 0.250 0.750
13 Rh 0.250 0.750 0.500
14 Rh 0.697 0.697 0.000
15 Rh 0.500 0.750 0.250
16 Rh 0.000 0.303 0.303
17 U 0.000 0.500 0.000

Results
energy relative to the elements	-377	meV per atom

6.
Here is a geometry-optimized LaTcSb3 structure from Alexandria. Energies are from PBE-GGA.

Cell: 6.220 6.257 13.152 Å, 90.00 90.00 90.00°
Element x y z (fractional)
1 La 0.250 0.993 0.695
2 Sb 0.750 0.400 0.941
3 La 0.250 0.493 0.305
4 Sb 0.750 0.514 0.211
5 Sb 0.500 0.750 0.501
6 Sb 0.250 0.100 0.941
7 Tc 0.000 0.750 0.902
8 Sb 0.000 0.250 0.499
9 Tc 0.000 0.250 0.098
10 La 0.750 0.507 0.695
11 Sb 0.000 0.750 0.501
12 Sb 0.750 0.014 0.789
13 Sb 0.500 0.250 0.499
14 Sb 0.250 0.600 0.059
15 Sb 0.250 0.486 0.789
16 Sb 0.750 0.900 0.059
17 La 0.750 0.007 0.305
18 Tc 0.500 0.750 0.902
19 Sb 0.250 0.986 0.211
20 Tc 0.500 0.250 0.098

Results
excess energy over the best structure of this formula in the dataset	0.0000	eV/atom
uncorrected formation energy	-0.555	eV/atom

7.
Here is a geometry-optimized Zn2GaTe2 structure from Alexandria. Energies are from PBE-GGA.

Cell: 4.226 4.226 7.951 Å, 74.59 74.59 90.00°
Element x y z (fractional)
1 Zn 0.250 0.750 0.500
2 Te 0.372 0.372 0.257
3 Ga 0.000 0.000 0.000
4 Te 0.628 0.628 0.743
5 Zn 0.750 0.250 0.500

Results
uncorrected formation energy	-0.056	eV/atom

8.
Here is a geometry-optimized LuPaZnAu structure from Alexandria. Energies are from PBE-GGA.

Cell: 5.037 5.037 5.037 Å, 60.00 60.00 60.00°
Element x y z (fractional)
1 Au 0.750 0.750 0.750
2 Lu 0.500 0.500 0.500
3 Pa 0.000 0.000 0.000
4 Zn 0.250 0.250 0.250

Results
energy relative to the elements	-227	meV per atom

9.
Here is a geometry-optimized RuPt2Se structure from Alexandria. Energies are from PBE-GGA.

Cell: 2.821 2.821 8.112 Å, 90.00 90.00 90.00°
Element x y z (fractional)
1 Ru 0.500 0.500 0.250
2 Pt 0.000 0.000 0.020
3 Pt 0.000 0.000 0.480
4 Se 0.500 0.500 0.750

Results
uncorrected formation energy	0.242	eV/atom

10.
Here is a geometry-optimized SrZrSb structure from Alexandria. Energies are from PBE-GGA.

Cell: 4.980 4.980 4.509 Å, 90.00 90.00 120.00°
Element x y z (fractional)
1 Sr 0.667 0.333 0.333
2 Zr 0.333 0.667 0.833
3 Sb 0.000 0.000 0.833

Results
excess energy over the best structure of this formula in the dataset	0.5218	eV/atom
uncorrected formation energy	-0.208	eV/atom

11.
Here is a geometry-optimized RbHgF5 structure from Alexandria. Energies are from PBE-GGA.

Cell: 7.101 7.105 7.083 Å, 103.44 112.46 112.74°
Element x y z (fractional)
1 F 0.788 0.304 0.585
2 F 0.212 0.696 0.415
3 Hg 0.000 0.000 0.000
4 F 0.214 0.297 0.017
5 F 0.707 0.417 0.215
6 F 0.292 0.007 0.211
7 F 0.998 0.830 0.668
8 Rb 0.585 0.793 0.293
9 F 0.708 0.993 0.789
10 F 0.786 0.703 0.983
11 F 0.002 0.170 0.332
12 Rb 0.415 0.207 0.707
13 F 0.293 0.583 0.785
14 Hg 0.000 0.500 0.500

Results
uncorrected formation energy	-1.506	eV/atom

12.
Here is a geometry-optimized InCuSe2 structure from Alexandria. Energies are from PBE-GGA.

Cell: 4.778 4.778 3.775 Å, 90.00 90.00 104.86°
Element x y z (fractional)
1 Cu 0.500 0.000 0.500
2 In 0.000 0.500 0.500
3 Se 0.500 0.500 0.000
4 Se 0.000 0.000 0.000

Results
uncorrected formation energy	0.177	eV/atom

Size of the total moment for the records above, in order: 0.000; 0.006; 0.480; 0.726; 1.500; 0.000; 0.000; 1.313; 0.782; 1.747; 0.502; 0.000 μB/f.u.
Calculated total energy for the records above, in order: -8.08; -2.80; -5.67; -3.14; -8.41; -6.09; -2.43; -4.87; -5.97; -4.99; -3.02; -3.27 eV/atom